No. 1
Material: TbCd4Ga2
Method: DFT, PBE
State: optimized geometry

```
data_TbCd4Ga2
_chemical_formula_sum 'Tb1 Cd4 Ga2'
_cell_length_a 4.3537
_cell_length_b 4.3833
_cell_length_c 8.2677
_cell_angle_alpha 105.37
_cell_angle_beta 90.00
_cell_angle_gamma 90.00
_space_group_name_H-M_alt 'P 1'
_space_group_IT_number 1
loop_
_space_group_symop_operation_xyz
'x,y,z'
loop_
_atom_site_label
_atom_site_fract_x
_atom_site_fract_y
_atom_site_fract_z
Ga1 0.5000 0.4248 0.8497
Ga2 0.5000 0.5752 0.1503
Cd1 0.5000 0.8231 0.6461
Cd2 0.0000 0.6816 0.3632
Cd3 0.0000 0.3184 0.6368
Cd4 0.5000 0.1769 0.3539
Tb1 0.0000 0.0000 0.0000
```

## Properties
Fermi-level density of states   2.69 states/eV/f.u.
Total magnetic moment   0.000 μB/atom
Mass density   8.16 g/cm³
ΔH_f (0 K)   -4.88 kcal/mol of atoms


No. 2
Material: PaInGaPd
Method: DFT, PBE
State: optimized geometry

```
data_PaInGaPd
_chemical_formula_sum 'Pa1 In1 Ga1 Pd1'
_cell_length_a 4.8831
_cell_length_b 4.8831
_cell_length_c 4.8831
_cell_angle_alpha 60.00
_cell_angle_beta 60.00
_cell_angle_gamma 60.00
_space_group_name_H-M_alt 'P 1'
_space_group_IT_number 1
loop_
_space_group_symop_operation_xyz
'x,y,z'
loop_
_atom_site_label
_atom_site_fract_x
_atom_site_fract_y
_atom_site_fract_z
Pa1 0.0000 0.0000 0.0000
In1 0.5000 0.5000 0.5000
Pd1 0.2500 0.2500 0.2500
Ga1 0.7500 0.7500 0.7500
```

## Properties
Fermi-level density of states   5.44 states/eV/f.u.
Total magnetic moment   0.001 μB/atom
Mass density   10.53 g/cm³
ΔH_f (0 K)   -8.15 kcal/mol of atoms


No. 3
Material: RbTlS2
Method: DFT, PBE
State: optimized geometry

```
data_RbTlS2
_chemical_formula_sum 'Rb2 Tl2 S4'
_cell_length_a 8.1895
_cell_length_b 8.1895
_cell_length_c 6.7882
_cell_angle_alpha 52.90
_cell_angle_beta 52.90
_cell_angle_gamma 90.00
_space_group_name_H-M_alt 'P 1'
_space_group_IT_number 1
loop_
_space_group_symop_operation_xyz
'x,y,z'
loop_
_atom_site_label
_atom_site_fract_x
_atom_site_fract_y
_atom_site_fract_z
Rb1 0.2500 0.2500 0.5000
Rb2 0.7500 0.7500 0.5000
Tl1 0.7500 0.2500 0.5000
Tl2 0.2500 0.7500 0.5000
S1 0.8359 0.3359 0.0000
S2 0.3359 0.1641 0.0000
S3 0.1641 0.6641 0.0000
S4 0.6641 0.8359 0.0000
```

## Properties
Distance to the lowest polymorph of the same formula   0.033 eV per atom
Fermi-level density of states   0.00 states/eV/f.u.
Total magnetic moment   0.000 μB/atom
Mass density   4.95 g/cm³


No. 4
Material: Li2TcNi
Method: DFT, PBE
State: optimized geometry

```
data_Li2TcNi
_chemical_formula_sum 'Li2 Tc1 Ni1'
_cell_length_a 4.5474
_cell_length_b 5.2305
_cell_length_c 2.4991
_cell_angle_alpha 77.33
_cell_angle_beta 87.43
_cell_angle_gamma 115.09
_space_group_name_H-M_alt 'P 1'
_space_group_IT_number 1
loop_
_space_group_symop_operation_xyz
'x,y,z'
loop_
_atom_site_label
_atom_site_fract_x
_atom_site_fract_y
_atom_site_fract_z
Tc1 0.5000 0.5000 0.0000
Ni1 0.0000 0.5000 0.5000
Li1 0.0000 0.0000 0.0000
Li2 0.5000 0.0000 0.5000
```

## Properties
Distance to the lowest polymorph of the same formula   0.069 eV per atom
Fermi-level density of states   2.71 states/eV/f.u.
Total magnetic moment   0.194 μB/atom
Mass density   5.46 g/cm³
ΔH_f (0 K)   3.57 kcal/mol of atoms